This record from the Alexandria database describes Mo2P3O12 at its PBEsol-relaxed geometry. The functional is meta-GGA SCAN.

Calculated values
E above lowest polymorph: 0.0237 eV/atom

a b c (Å): 8.6961 8.7348 14.8800
angles (deg): 90.00 125.72 90.00
Last column: nearest neighbours and their distance in Å.
Fractional coordinates of all 68 atoms:
Mo1 0.1321 0.0350 0.3826  6 O 1.95-1.97
Mo2 0.1321 0.4650 0.8826  6 O 1.95-1.97
Mo3 0.3672 0.0352 0.1175  6 O 1.95-1.97
Mo4 0.3672 0.4648 0.6175  6 O 1.95-1.97
Mo5 0.6328 0.5352 0.3825  6 O 1.95-1.97
Mo6 0.6328 0.9648 0.8825  6 O 1.95-1.97
Mo7 0.8679 0.5350 0.1174  6 O 1.95-1.97
Mo8 0.8679 0.9650 0.6174  6 O 1.95-1.97
P1 0.0317 0.7501 0.0004  4 O 1.53-1.54
P2 0.0317 0.7499 0.5004  4 O 1.53-1.54
P3 0.2488 0.1124 0.8547  4 O 1.53-1.54
P4 0.2488 0.3876 0.3547  4 O 1.53-1.54
P5 0.4610 0.6123 0.8549  4 O 1.53-1.54
P6 0.4610 0.8877 0.3549  4 O 1.53-1.54
P7 0.5390 0.1123 0.6451  4 O 1.53-1.54
P8 0.5390 0.3877 0.1451  4 O 1.53-1.54
P9 0.7512 0.6124 0.6453  4 O 1.53-1.54
P10 0.7512 0.8876 0.1453  4 O 1.53-1.54
P11 0.9683 0.2499 0.9996  4 O 1.53-1.54
P12 0.9683 0.2501 0.4996  4 O 1.53-1.54
O1 0.0139 0.6621 0.0833  1 P 1.54
O2 0.0139 0.8379 0.5833  1 P 1.54
O3 0.0663 0.6427 0.9329  1 P 1.53
O4 0.0663 0.8573 0.4329  1 P 1.53
O5 0.0889 0.0069 0.7678  1 P 1.54
O6 0.0889 0.4931 0.2678  1 P 1.54
O7 0.1510 0.1606 0.0817  1 P 1.54
O8 0.1510 0.3394 0.5817  1 P 1.54
O9 0.1897 0.2181 0.3304  1 P 1.54
O10 0.1897 0.2819 0.8304  1 P 1.54
O11 0.2028 0.6437 0.5669  1 P 1.53
O12 0.2028 0.8563 0.0669  1 P 1.53
O13 0.2853 0.5929 0.8544  1 P 1.53
O14 0.2853 0.9071 0.3544  1 P 1.53
O15 0.2968 0.0683 0.9681  1 P 1.53
O16 0.2968 0.4317 0.4681  1 P 1.53
O17 0.3587 0.0682 0.5325  1 P 1.53
O18 0.3587 0.4318 0.0325  1 P 1.53
O19 0.4212 0.0916 0.8521  1 P 1.53
O20 0.4212 0.4084 0.3521  1 P 1.53
O21 0.4437 0.5059 0.7673  1 P 1.53
O22 0.4437 0.9941 0.2673  1 P 1.53
O23 0.4718 0.7187 0.3297  1 P 1.54
O24 0.4718 0.7813 0.8297  1 P 1.54
O25 0.5282 0.2187 0.1703  1 P 1.54
O26 0.5282 0.2813 0.6703  1 P 1.54
O27 0.5563 0.0059 0.7327  1 P 1.53
O28 0.5563 0.4941 0.2327  1 P 1.53
O29 0.5788 0.5916 0.6479  1 P 1.53
O30 0.5788 0.9084 0.1479  1 P 1.53
O31 0.6413 0.5682 0.9675  1 P 1.53
O32 0.6413 0.9318 0.4675  1 P 1.53
O33 0.7032 0.5683 0.5319  1 P 1.53
O34 0.7032 0.9317 0.0319  1 P 1.53
O35 0.7147 0.0929 0.6456  1 P 1.53
O36 0.7147 0.4071 0.1456  1 P 1.53
O37 0.7972 0.1437 0.9331  1 P 1.53
O38 0.7972 0.3563 0.4331  1 P 1.53
O39 0.8103 0.7181 0.1696  1 P 1.54
O40 0.8103 0.7819 0.6696  1 P 1.54
O41 0.8490 0.6606 0.4183  1 P 1.54
O42 0.8490 0.8394 0.9183  1 P 1.54
O43 0.9111 0.5069 0.7322  1 P 1.54
O44 0.9111 0.9931 0.2322  1 P 1.54
O45 0.9337 0.1427 0.5671  1 P 1.53
O46 0.9337 0.3573 0.0671  1 P 1.53
O47 0.9861 0.1621 0.4167  1 P 1.54
O48 0.9861 0.3379 0.9167  1 P 1.54

This record from the Alexandria database describes Rb2TcW at its PBEsol-relaxed geometry. The functional is meta-GGA SCAN.

Calculated values
Calculated formation energy: 2777 meV/atom

a b c (Å): 7.8889 7.8889 7.8889
angles (deg): 90.00 90.00 90.00
Last column: nearest neighbours and their distance in Å.
Fractional coordinates of all 16 atoms:
Rb1 0.2500 0.2500 0.2500  4 Tc 3.42, 4 W 3.42
Rb2 0.2500 0.2500 0.7500  4 W 3.42, 4 Tc 3.42
Rb3 0.2500 0.7500 0.2500  4 W 3.42, 4 Tc 3.42
Rb4 0.2500 0.7500 0.7500  4 W 3.42, 4 Tc 3.42
Rb5 0.7500 0.2500 0.2500  4 W 3.42, 4 Tc 3.42
Rb6 0.7500 0.2500 0.7500  4 W 3.42, 4 Tc 3.42
Rb7 0.7500 0.7500 0.2500  4 W 3.42, 4 Tc 3.42
Rb8 0.7500 0.7500 0.7500  4 W 3.42, 4 Tc 3.42
Tc1 0.0000 0.0000 0.0000  8 Rb 3.42
Tc2 0.0000 0.5000 0.5000  8 Rb 3.42
Tc3 0.5000 0.0000 0.5000  8 Rb 3.42
Tc4 0.5000 0.5000 0.0000  8 Rb 3.42
W1 0.0000 0.0000 0.5000  8 Rb 3.42
W2 0.0000 0.5000 0.0000  8 Rb 3.42
W3 0.5000 0.0000 0.0000  8 Rb 3.42
W4 0.5000 0.5000 0.5000  8 Rb 3.42

This record from the Alexandria database describes CeNiPt at its PBEsol-relaxed geometry. The functional is meta-GGA SCAN.

Calculated values
Calculated formation energy: -798 meV/atom

a b c (Å): 7.0836 4.0285 7.5760
angles (deg): 90.00 90.00 90.00
Last column: nearest neighbours and their distance in Å.
Fractional coordinates of all 12 atoms:
Ce1 0.0335 0.2500 0.2060  3 Ni 2.76-2.84, 5 Pt 2.79-2.93
Ce2 0.4665 0.7500 0.7060  3 Ni 2.76-2.84, 5 Pt 2.79-2.93
Ce3 0.5335 0.2500 0.2940  3 Ni 2.76-2.84, 5 Pt 2.79-2.93
Ce4 0.9665 0.7500 0.7940  3 Ni 2.76-2.84, 5 Pt 2.79-2.93
Ni1 0.1062 0.2500 0.5643  4 Pt 2.58-2.68, 2 Ni 2.70, 3 Ce 2.76-2.84
Ni2 0.3938 0.7500 0.0643  4 Pt 2.58-2.68, 2 Ni 2.70, 3 Ce 2.76-2.84
Ni3 0.6062 0.2500 0.9357  4 Pt 2.58-2.68, 2 Ni 2.70, 3 Ce 2.76-2.84
Ni4 0.8938 0.7500 0.4357  4 Pt 2.58-2.68, 2 Ni 2.70, 3 Ce 2.76-2.84
Pt1 0.2442 0.2500 0.8941  4 Ni 2.58-2.68, 1 Ce 2.79
Pt2 0.2558 0.7500 0.3941  4 Ni 2.58-2.68, 1 Ce 2.79
Pt3 0.7442 0.2500 0.6059  4 Ni 2.58-2.68, 1 Ce 2.79
Pt4 0.7558 0.7500 0.1059  4 Ni 2.58-2.68, 1 Ce 2.79

Let's list V in order: 13.494 30.685 18.016 A^3/atom.
Let's list electronic total energy in order: -857.26 -540.47 -533.30 eV per cell.